No. 1
# ReBIBr2

A PBEsol-optimized structure of ReBIBr2 (meta-GGA SCAN, the Alexandria database).

Properties
Symmetry: P4/mmm
Crystal system: tetragonal
Magnetic moment: 0.59 μB/atom
Calculated total energy: -29.4072 eV/atom
Energy relative to the elements, uncorrected: 1430 meV per atom

POSCAR file:
```
ReBIBr2
1.0
-4.067 -0.892 2.604
2.547 -2.982 2.956
1.170 4.255 3.286
Br I Re B
2 1 1 1
Direct
0.000 0.500 0.000 Br
0.500 0.000 0.000 Br
0.000 0.000 0.500 I
0.000 0.000 0.000 Re
0.500 0.500 0.500 B
```

---

No. 2
# FeTc2Ni

A PBEsol-optimized structure of FeTc2Ni (meta-GGA SCAN, the Alexandria database).

Properties
Excess energy over the best structure of this formula in the dataset: 0 meV per atom
Symmetry: Pmm2
Crystal system: orthorhombic
ΔH_f (0 K): 0.0567 eV/atom
Magnetic moment: 0.00 μB/atom
Calculated total energy: -26.0490 eV/atom

POSCAR file:
```
FeTc2Ni
1.0
-1.636 -1.826 0.846
1.450 0.473 3.826
-3.091 3.132 0.784
Ni Tc Fe
1 2 1
Direct
0.500 0.500 0.213 Ni
0.000 0.500 0.702 Tc
0.000 0.000 0.051 Tc
0.500 0.000 0.534 Fe
```

---

No. 3
# Co2SiCl

A PBEsol-optimized structure of Co2SiCl (meta-GGA SCAN, the Alexandria database).

Properties
Excess energy over the best structure of this formula in the dataset: 757 meV per atom
Symmetry: F-43m
Crystal system: cubic
Magnetic moment: 0.24 μB/atom
Calculated total energy: -12.0942 eV/atom
Energy relative to the elements, uncorrected: 1056 meV per atom

POSCAR file:
```
Co2SiCl
1.0
4.117 0.000 0.000
2.059 3.566 0.000
2.059 1.189 3.362
Si Co Cl
1 2 1
Direct
0.750 0.750 0.750 Si
0.250 0.250 0.250 Co
0.000 0.000 0.000 Co
0.500 0.500 0.500 Cl
```

---

No. 4
# SbRuPtI2

A PBEsol-optimized structure of SbRuPtI2 (meta-GGA SCAN, the Alexandria database).

Properties
Symmetry: P4/mmm
Crystal system: tetragonal
Magnetic moment: 0.00 μB/atom
Calculated total energy: -42.0717 eV/atom
Energy relative to the elements, uncorrected: 1081 meV per atom

POSCAR file:
```
SbRuPtI2
1.0
4.930 0.000 0.000
0.000 5.199 0.000
0.000 0.000 5.199
I Sb Ru Pt
2 1 1 1
Direct
0.000 0.000 0.500 I
0.000 0.500 0.000 I
0.500 0.000 0.000 Sb
0.000 0.000 0.000 Ru
0.500 0.500 0.500 Pt
```

---

No. 5
# Mn2RhSe

A PBEsol-optimized structure of Mn2RhSe (meta-GGA SCAN, the Alexandria database).

Properties
Symmetry: P4/mmm
Crystal system: tetragonal
Magnetic moment: 2.21 μB/atom
Calculated total energy: -22.9135 eV/atom
Energy relative to the elements, uncorrected: -323 meV per atom

POSCAR file:
```
Mn2RhSe
1.0
3.189 0.000 0.019
0.000 3.189 0.000
-0.032 0.000 5.548
Se Mn Rh
1 2 1
Direct
0.500 0.500 0.500 Se
0.000 0.000 0.748 Mn
0.000 0.000 0.252 Mn
0.500 0.500 0.000 Rh
```

---

No. 6
# MgAu5

A PBEsol-optimized structure of MgAu5 (meta-GGA SCAN, the Alexandria database).

Properties
Symmetry: Amm2
Crystal system: orthorhombic
ΔH_f (0 K): -0.2747 eV/atom
Magnetic moment: 0.00 μB/atom
Calculated total energy: -58.7345 eV/atom

POSCAR file:
```
MgAu5
1.0
3.080 0.000 0.000
0.000 4.639 0.000
-1.540 0.000 7.150
Au Mg
5 1
Direct
0.672 0.000 0.345 Au
0.548 0.500 0.095 Au
0.004 0.000 0.009 Au
0.338 0.000 0.677 Au
0.220 0.500 0.441 Au
0.883 0.500 0.767 Mg
```

---

No. 7
# ZrAl2AgPd

A PBEsol-optimized structure of ZrAl2AgPd (meta-GGA SCAN, the Alexandria database).

Properties
Symmetry: P4/mmm
Crystal system: tetragonal
ΔH_f (0 K): 0.0728 eV/atom
Magnetic moment: 0.00 μB/atom
Calculated total energy: -21.9959 eV/atom

POSCAR file:
```
ZrAl2AgPd
1.0
-2.142 2.480 -3.150
-2.536 -3.604 -1.113
-3.338 1.326 3.314
Al Ag Pd Zr
2 1 1 1
Direct
0.000 0.500 0.000 Al
0.500 0.000 0.000 Al
0.000 0.000 0.500 Ag
0.000 0.000 0.000 Pd
0.500 0.500 0.500 Zr
```

---

No. 8
# LiCoPO4

A PBEsol-optimized structure of LiCoPO4 (meta-GGA SCAN, the Alexandria database).

Properties
Excess energy over the best structure of this formula in the dataset: 47 meV per atom
Symmetry: Pc
Crystal system: monoclinic
Magnetic moment: 0.43 μB/atom
Calculated total energy: -10.0400 eV/atom
Energy relative to the elements, uncorrected: -2180 meV per atom

POSCAR file:
```
LiCoPO4
1.0
5.245 0.000 0.000
0.000 7.917 -0.018
0.000 -2.164 7.937
O P Co Li
16 4 4 4
Direct
0.677 0.422 0.656 O
0.113 0.311 0.727 O
0.191 0.617 0.561 O
0.300 0.189 0.312 O
0.831 0.122 0.504 O
0.169 0.122 0.004 O
0.323 0.422 0.156 O
0.388 0.680 0.943 O
0.327 0.937 0.605 O
0.800 0.774 0.826 O
0.673 0.937 0.105 O
0.809 0.617 0.061 O
0.700 0.189 0.812 O
0.612 0.680 0.443 O
0.200 0.774 0.326 O
0.887 0.311 0.227 O
0.337 0.749 0.486 P
0.663 0.749 0.986 P
0.831 0.263 0.676 P
0.169 0.263 0.176 P
0.845 0.027 0.922 Co
0.155 0.027 0.422 Co
0.333 0.510 0.727 Co
0.667 0.510 0.227 Co
0.165 0.627 0.106 Li
0.339 0.134 0.797 Li
0.835 0.627 0.606 Li
0.661 0.134 0.297 Li
```

---

Q: Among the records above, which one has the highest calculated total energy?
A: LiCoPO4